<1>
# GGA-PBE PmCoSi3, optimized geometry
# Size of the total moment: 0.0 μB/cell
# Density of states at the Fermi level: 1.506 states/eV/f.u.
# Calculated volume: 16.23 A^3/atom
data_PmCoSi3
_cell_length_a 4.113
_cell_length_b 4.113
_cell_length_c 9.594
_cell_angle_alpha 90.00
_cell_angle_beta 90.00
_cell_angle_gamma 90.00
_symmetry_space_group_name_H-M 'I 4 m m'
_symmetry_Int_Tables_number 107
_symmetry_space_group_name_Hall 'I 4 -2'
loop_
_atom_site_label
_atom_site_type_symbol
_atom_site_fract_x
_atom_site_fract_y
_atom_site_fract_z
Pm1 Pm 0.000 0.000 0.000
Co1 Co 0.000 0.000 0.657
Si1 Si 0.000 0.000 0.422
Si2 Si 0.000 0.500 0.256

***

<2>
# GGA-PBE PmCoSi3, optimized geometry
# Size of the total moment: 0.0 μB/cell
# Density of states at the Fermi level: 2.053 states/eV/f.u.
# Calculated volume: 17.34 A^3/atom
data_PmCoSi3
_cell_length_a 5.756
_cell_length_b 5.418
_cell_length_c 5.559
_cell_angle_alpha 90.00
_cell_angle_beta 90.00
_cell_angle_gamma 90.00
_symmetry_space_group_name_H-M 'P m n 21'
_symmetry_Int_Tables_number 31
_symmetry_space_group_name_Hall 'P 2ac -2'
loop_
_atom_site_label
_atom_site_type_symbol
_atom_site_fract_x
_atom_site_fract_y
_atom_site_fract_z
Pm1 Pm 0.000 0.141 0.000
Co1 Co 0.000 0.618 0.272
Si1 Si 0.000 0.945 0.509
Si2 Si 0.220 0.348 0.493

***

Ranking the structures above by stability puts <1> first and <2> last.